# 1
A relaxed CaBeZn2Au4 crystal. Source: the Alexandria database, functional PBE.

Lattice parameters (Å, degrees): 8.6820 8.6820 8.6820 29.86 29.86 29.86
Fractional coordinates of all 8 atoms:
1 Ca 0.0000 0.0000 0.0000
2 Be 0.5000 0.5000 0.5000
3 Zn 0.2477 0.2477 0.2477
4 Zn 0.7523 0.7523 0.7523
5 Au 0.1364 0.1364 0.1364
6 Au 0.4040 0.4040 0.4040
7 Au 0.5960 0.5960 0.5960
8 Au 0.8636 0.8636 0.8636

**Crystal system**: trigonal
**Formation energy from the elements**: -329 meV/atom



# 2
A relaxed GaBiPSe crystal. Source: the Alexandria database, functional PBE.

Lattice parameters (Å, degrees): 5.0819 5.0819 6.6998 109.21 109.21 43.50
Fractional coordinates of all 4 atoms:
1 Ga 0.0000 0.0000 0.0000
2 Bi 0.2714 0.2714 0.3424
3 P 0.3441 0.3441 0.9863
4 Se 0.1136 0.1136 0.7136

**Crystal system**: monoclinic
**Raw formation energy**: -0.07 eV per atom



# 3
A relaxed RbAgIF2 crystal. Source: the Alexandria database, functional PBE.

Lattice parameters (Å, degrees): 4.6874 4.6874 5.7700 90.00 90.00 90.00
Fractional coordinates of all 5 atoms:
1 Rb 0.0000 0.0000 0.0000
2 Ag 0.5000 0.5000 0.2691
3 I 0.5000 0.5000 0.7574
4 F 0.0000 0.5000 0.2562
5 F 0.5000 0.0000 0.2562

**Crystal system**: tetragonal
**Raw formation energy**: -1.38 eV per atom



Energy: -3.002 -4.025 -3.199 (eV per atom)
Volume: 17.964 27.846 25.355 (A^3/atom)